Record 1
{
  "formula": "Sr2UCdS6",
  "functional": "GGA-PBE",
  "state": "relaxed",
  "lattice_angstrom": [[7.162, 0.000, -0.402], [0.000, 7.116, 0.000], [-3.250, -3.558, 5.244]],
  "species": ["S", "S", "S", "S", "S", "S", "Cd", "U", "Sr", "Sr"],
  "frac_coords": [[0.179, 0.189, 0.874], [0.821, 0.811, 0.126], [0.350, 0.738, 0.476], [0.179, 0.685, 0.874], [0.821, 0.315, 0.126], [0.650, 0.262, 0.524], [0.500, 0.000, 0.000], [0.000, 0.500, 0.000], [0.225, 0.252, 0.503], [0.775, 0.748, 0.497]],
  "crystal_system": "monoclinic",
  "formation_energy_uncorrected_ev_per_fu": -13.9,
  "energy_ev_per_atom": -5.42
}

=====

Record 2
{
  "formula": "AlB3O",
  "functional": "GGA-PBE",
  "state": "relaxed",
  "lattice_angstrom": [[-0.609, -0.815, -3.470], [2.618, -2.491, 0.126], [-2.419, -2.491, 1.010]],
  "species": ["Al", "B", "B", "B", "O"],
  "frac_coords": [[0.500, 0.500, 0.500], [0.500, 0.000, 0.000], [0.000, 0.000, 0.500], [0.000, 0.500, 0.000], [0.000, 0.000, 0.000]],
  "crystal_system": "cubic",
  "relative_energy_mev_per_atom": 0,
  "formation_energy_uncorrected_ev_per_fu": 7.6,
  "energy_ev_per_atom": -4.23
}

=====

Record 3
{
  "formula": "Ac5HgRu2",
  "functional": "GGA-PBE",
  "state": "relaxed",
  "lattice_angstrom": [[-5.863, -2.127, 5.560], [-1.328, -7.140, -4.131], [8.736, 1.283, 3.424]],
  "species": ["Ac", "Ac", "Ac", "Ac", "Ac", "Ac", "Ac", "Ac", "Ac", "Ac", "Hg", "Hg", "Ru", "Ru", "Ru", "Ru"],
  "frac_coords": [[0.291, 0.791, 0.261], [0.530, 0.709, 0.739], [0.000, 0.000, 0.000], [0.470, 0.291, 0.261], [0.709, 0.209, 0.739], [0.791, 0.970, 0.261], [0.970, 0.470, 0.261], [0.030, 0.530, 0.739], [0.209, 0.030, 0.739], [0.500, 0.500, 0.000], [0.250, 0.250, 0.500], [0.750, 0.750, 0.500], [0.358, 0.858, 0.000], [0.142, 0.358, 0.000], [0.858, 0.642, 0.000], [0.642, 0.142, 0.000]],
  "crystal_system": "tetragonal",
  "energy_ev_per_atom": -5.20,
  "formation_energy_kj_per_mol_atoms": -26.27
}

=====

Record 4
{
  "formula": "TiSi2C",
  "functional": "GGA-PBE",
  "state": "relaxed",
  "lattice_angstrom": [[6.138, 0.000, 0.000], [0.000, 6.138, 0.000], [3.069, 3.069, 2.628]],
  "species": ["C", "C", "Ti", "Ti", "Si", "Si", "Si", "Si"],
  "frac_coords": [[0.250, 0.750, 0.500], [0.500, 0.500, 0.000], [0.000, 0.000, 0.000], [0.750, 0.250, 0.500], [0.875, 0.792, 0.750], [0.208, 0.625, 0.250], [0.375, 0.458, 0.750], [0.542, 0.125, 0.250]],
  "crystal_system": "tetragonal",
  "relative_energy_mev_per_atom": 0,
  "formation_energy_uncorrected_ev_per_fu": 0.8,
  "energy_ev_per_atom": -6.79
}

=====

Record 5
{
  "formula": "BaLaGe2",
  "functional": "GGA-PBE",
  "state": "relaxed",
  "lattice_angstrom": [[8.589, 0.000, 0.000], [0.000, 8.589, 0.000], [4.294, 4.294, 3.519]],
  "species": ["Ge", "Ge", "Ge", "Ge", "La", "La", "Ba", "Ba"],
  "frac_coords": [[0.647, 0.125, 0.250], [0.103, 0.625, 0.250], [0.875, 0.897, 0.750], [0.375, 0.353, 0.750], [0.750, 0.250, 0.500], [0.000, 0.000, 0.000], [0.500, 0.500, 0.000], [0.250, 0.750, 0.500]],
  "crystal_system": "tetragonal",
  "energy_ev_per_atom": -4.22,
  "formation_energy_kj_per_mol_atoms": -19.44
}

=====

Record 6
{
  "formula": "Ce2PaAu",
  "functional": "GGA-PBE",
  "state": "relaxed",
  "lattice_angstrom": [[-5.124, 0.277, 0.151], [-0.084, -3.167, 2.967], [0.254, 2.959, 3.165]],
  "species": ["Pa", "Ce", "Ce", "Au"],
  "frac_coords": [[0.500, 0.000, 0.000], [0.000, 0.000, 0.500], [0.000, 0.500, 0.000], [0.500, 0.500, 0.500]],
  "crystal_system": "tetragonal",
  "relative_energy_mev_per_atom": 169,
  "energy_ev_per_atom": -6.22,
  "formation_energy_kj_per_mol_atoms": -5.57
}

=====

Record 7
{
  "formula": "AlAg2Mo",
  "functional": "GGA-PBE",
  "state": "relaxed",
  "lattice_angstrom": [[3.767, 0.000, 0.000], [0.000, 3.767, 0.000], [1.883, 1.883, 10.093]],
  "species": ["Ag", "Ag", "Ag", "Ag", "Al", "Al", "Mo", "Mo"],
  "frac_coords": [[0.375, 0.378, 0.750], [0.875, 0.872, 0.750], [0.622, 0.125, 0.250], [0.128, 0.625, 0.250], [0.500, 0.500, 0.000], [0.250, 0.750, 0.500], [0.000, 0.000, 0.000], [0.750, 0.250, 0.500]],
  "crystal_system": "tetragonal",
  "energy_ev_per_atom": -4.55,
  "formation_energy_kj_per_mol_atoms": 50.44
}

=====

Record 8
{
  "formula": "RbGa2Ge6",
  "functional": "GGA-PBE",
  "state": "relaxed",
  "lattice_angstrom": [[5.943, 4.614, -4.081], [0.858, 7.474, -4.081], [-1.170, -2.080, 11.811]],
  "species": ["Ga", "Ga", "Ga", "Ga", "Ge", "Ge", "Ge", "Ge", "Ge", "Ge", "Ge", "Ge", "Ge", "Ge", "Ge", "Ge", "Rb", "Rb"],
  "frac_coords": [[0.741, 0.806, 0.149], [0.056, 0.491, 0.649], [0.842, 0.407, 0.351], [0.657, 0.592, 0.851], [0.817, 0.921, 0.848], [0.383, 0.977, 0.641], [0.219, 0.823, 0.652], [0.227, 0.133, 0.141], [0.570, 0.632, 0.142], [0.171, 0.567, 0.348], [0.882, 0.320, 0.642], [0.336, 0.742, 0.359], [0.490, 0.429, 0.858], [0.073, 0.969, 0.152], [0.679, 0.240, 0.358], [0.992, 0.086, 0.859], [0.571, 0.071, 0.500], [0.321, 0.321, 0.000]],
  "crystal_system": "orthorhombic",
  "energy_ev_per_atom": -3.77,
  "formation_energy_kj_per_mol_atoms": 8.99
}

=====

Record 9
{
  "formula": "ScTcAu2",
  "functional": "GGA-PBE",
  "state": "relaxed",
  "lattice_angstrom": [[-1.542, -2.412, 0.363], [1.158, -0.351, 2.620], [-6.312, 4.547, 3.399]],
  "species": ["Au", "Au", "Sc", "Tc"],
  "frac_coords": [[0.000, 0.000, 0.986], [0.500, 0.500, 0.255], [0.000, 0.000, 0.507], [0.500, 0.500, 0.752]],
  "crystal_system": "tetragonal",
  "relative_energy_mev_per_atom": 164,
  "energy_ev_per_atom": -5.89,
  "formation_energy_kj_per_mol_atoms": -6.98
}

=====

Record 10
{
  "formula": "KTl8In4",
  "functional": "GGA-PBE",
  "state": "relaxed",
  "lattice_angstrom": [[6.259, 0.000, 0.000], [3.130, 8.057, 0.000], [3.130, 0.000, 8.057]],
  "species": ["Tl", "Tl", "Tl", "Tl", "Tl", "Tl", "Tl", "Tl", "In", "In", "In", "In", "K"],
  "frac_coords": [[0.500, 0.211, 0.789], [0.646, 0.354, 0.354], [0.000, 0.646, 0.354], [0.354, 0.646, 0.646], [0.500, 0.789, 0.211], [0.711, 0.789, 0.789], [0.289, 0.211, 0.211], [0.000, 0.354, 0.646], [0.500, 0.000, 0.500], [0.000, 0.500, 0.000], [0.000, 0.000, 0.500], [0.500, 0.500, 0.000], [0.000, 0.000, 0.000]],
  "crystal_system": "tetragonal",
  "energy_ev_per_atom": -2.40,
  "formation_energy_kj_per_mol_atoms": -1.51
}

=====

Record 11
{
  "formula": "LiNiHgSb",
  "functional": "GGA-PBE",
  "state": "relaxed",
  "lattice_angstrom": [[4.610, 0.000, 0.000], [2.305, 3.993, 0.000], [2.305, 1.331, 3.764]],
  "species": ["Li", "Ni", "Sb", "Hg"],
  "frac_coords": [[0.750, 0.750, 0.750], [0.250, 0.250, 0.250], [0.500, 0.500, 0.500], [0.000, 0.000, 0.000]],
  "crystal_system": "cubic",
  "formation_energy_uncorrected_ev_per_fu": -0.5,
  "energy_ev_per_atom": -3.15
}

=====

Record 12
{
  "formula": "Ac2BiRh",
  "functional": "GGA-PBE",
  "state": "relaxed",
  "lattice_angstrom": [[4.867, 0.000, 0.000], [0.000, 4.366, -0.775], [0.000, -0.023, 12.549]],
  "species": ["Ac", "Ac", "Ac", "Ac", "Rh", "Rh", "Bi", "Bi"],
  "frac_coords": [[0.250, 0.057, 0.114], [0.250, 0.337, 0.675], [0.750, 0.943, 0.886], [0.750, 0.663, 0.325], [0.750, 0.539, 0.077], [0.250, 0.461, 0.923], [0.750, 0.806, 0.613], [0.250, 0.194, 0.387]],
  "crystal_system": "orthorhombic",
  "relative_energy_mev_per_atom": 71,
  "energy_ev_per_atom": -5.52,
  "formation_energy_kj_per_mol_atoms": -63.66
}